[1]
This record from Alexandria via LeMat-Bulk describes PmPr2Ho6 after structural relaxation. The functional is PBE.

Cell lengths 7.451, 7.451, 7.645 Å; angles 60.84, 60.84, 60.00 degrees
Fractional positions:
1 Pm 0.315 0.315 0.055
2 Pr 0.755 0.755 0.736
3 Pr 0.579 0.579 0.263
4 Ho 0.785 0.259 0.697
5 Ho 0.259 0.785 0.697
6 Ho 0.259 0.259 0.697
7 Ho 0.048 0.617 0.286
8 Ho 0.049 0.048 0.286
9 Ho 0.617 0.049 0.286

Output
Energy = -0.1583 hartree per atom
Relative energy among the computed polymorphs = 228 meV/atom
Energy of formation = 3.00 eV per formula unit
Total moment = 0.00 μB/cell



[2]
This record from Alexandria via LeMat-Bulk describes Pm5Pr2Ho after structural relaxation. The functional is PBE.

Cell lengths 5.149, 7.301, 14.619 Å; angles 90.00, 90.00, 90.00 degrees
Fractional positions:
1 Pm 0.000 0.000 0.000
2 Pm 0.000 0.500 0.500
3 Pm 0.000 0.499 0.751
4 Pm 0.000 0.501 0.249
5 Pm 0.000 0.001 0.251
6 Pm 0.000 0.999 0.749
7 Pm 0.500 0.249 0.876
8 Pm 0.500 0.751 0.124
9 Pm 0.500 0.251 0.376
10 Pm 0.500 0.749 0.624
11 Pr 0.500 0.249 0.624
12 Pr 0.500 0.751 0.376
13 Pr 0.500 0.251 0.124
14 Pr 0.500 0.749 0.876
15 Ho 0.000 0.000 0.500
16 Ho 0.000 0.500 0.000

Output
Energy = -0.1735 hartree per atom
Relative energy among the computed polymorphs = 0 meV/atom
Energy of formation = 0.11 eV per formula unit
Total moment = 0.00 μB/cell